First-principles (GGA-PBE) data for a relaxed BSeO3 crystal, as listed in the Alexandria database.

SG: Pm-3m
Final energy, eV per atom: -4.281
Crystal system: cubic

abc: 3.765 3.765 3.765
angles: 90.00 90.00 90.00
Fractional coordinates of all 5 atoms:
1 O 0.000 0.000 0.500
2 O 0.000 0.500 0.000
3 B 0.500 0.500 0.500
4 O 0.500 0.000 0.000
5 Se 0.000 0.000 0.000

***

First-principles (GGA-PBE) data for a relaxed Na3Tl6In crystal, as listed in the Alexandria database.

SG: Cmc2_1
Crystal system: orthorhombic
Calculated formation energy, eV per formula unit: -0.4

abc: 5.867 10.284 10.284
angles: 101.97 90.00 90.00
Fractional coordinates of all 20 atoms:
1 Tl 0.533 0.319 0.435
2 Tl 0.620 0.253 0.747
3 Tl 0.533 0.565 0.681
4 In 0.171 0.156 0.844
5 Na 0.458 0.297 0.119
6 Tl 0.947 0.426 0.005
7 Na 0.958 0.119 0.297
8 Tl 0.447 0.005 0.426
9 Tl 0.947 0.995 0.574
10 Tl 0.120 0.747 0.253
11 Na 0.458 0.881 0.703
12 Tl 0.243 0.955 0.045
13 Na 0.573 0.635 0.365
14 Tl 0.743 0.045 0.955
15 In 0.671 0.844 0.156
16 Tl 0.033 0.681 0.565
17 Tl 0.447 0.574 0.995
18 Na 0.073 0.365 0.635
19 Tl 0.033 0.435 0.319
20 Na 0.958 0.703 0.881

***

First-principles (GGA-PBE) data for a relaxed ScZnSi crystal, as listed in the Alexandria database.

SG: I-4m2
Final energy, eV per atom: -4.788
Crystal system: tetragonal

abc: 3.879 3.879 7.596
angles: 104.79 104.79 90.00
Fractional coordinates of all 6 atoms:
1 Zn 0.833 0.333 0.665
2 Si 0.081 0.081 0.162
3 Sc 0.500 0.500 0.000
4 Zn 0.667 0.167 0.335
5 Si 0.919 0.919 0.838
6 Sc 0.250 0.750 0.500

***

First-principles (GGA-PBE) data for a relaxed Ca4P crystal, as listed in the Alexandria database.

SG: Im-3m
Crystal system: cubic
Calculated formation energy, eV per formula unit: -1.6

abc: 5.983 5.983 5.983
angles: 109.47 109.47 109.47
Fractional coordinates of all 5 atoms:
1 Ca 0.500 0.000 0.000
2 Ca 0.500 0.500 0.500
3 P 0.000 0.000 0.000
4 Ca 0.000 0.500 0.000
5 Ca 0.000 0.000 0.500

***

First-principles (GGA-PBE) data for a relaxed ErFe4Au crystal, as listed in the Alexandria database.

SG: F-43m
Crystal system: cubic
Calculated formation energy, eV per formula unit: -0.7

abc: 5.012 5.012 5.012
angles: 60.00 60.00 60.00
Last column: magnetic moment on the atom in μB.
Fractional coordinates of all 6 atoms:
1 Fe 0.625 0.625 0.625  2.43
2 Au 0.250 0.250 0.250  0.08
3 Fe 0.625 0.625 0.124  2.43
4 Fe 0.124 0.625 0.625  2.43
5 Fe 0.625 0.124 0.625  2.43
6 Er 0.000 0.000 0.000  -0.34

***

First-principles (GGA-PBE) data for a relaxed BaAgRu crystal, as listed in the Alexandria database.

SG: F-43m
Crystal system: cubic
Calculated formation energy, eV per formula unit: 2.4

abc: 4.858 4.858 4.858
angles: 60.00 60.00 60.00
Last column: magnetic moment on the atom in μB.
Fractional coordinates of all 3 atoms:
1 Ru 0.750 0.750 0.750  0.81
2 Ag 0.000 0.000 0.000  0.03
3 Ba 0.500 0.500 0.500  -0.01

***

First-principles (GGA-PBE) data for a relaxed Pm4Sm3Sb4 crystal, as listed in the Alexandria database.

SG: Immm
Final energy, eV per atom: -5.328
Crystal system: orthorhombic

abc: 4.122 9.157 10.277
angles: 116.46 101.57 90.00
Fractional coordinates of all 11 atoms:
1 Pm 0.669 0.493 0.339
2 Sm 0.097 0.097 0.193
3 Pm 0.669 0.845 0.339
4 Pm 0.331 0.155 0.661
5 Pm 0.331 0.507 0.661
6 Sb 0.500 0.786 0.000
7 Sb 0.271 0.771 0.541
8 Sb 0.729 0.229 0.459
9 Sm 0.000 0.500 0.000
10 Sb 0.500 0.214 0.000
11 Sm 0.903 0.903 0.807

***

First-principles (GGA-PBE) data for a relaxed La2ReRu crystal, as listed in the Alexandria database.

SG: P2/m
Crystal system: monoclinic
Calculated formation energy, eV per formula unit: 1.9

abc: 4.619 3.178 5.871
angles: 83.92 90.00 90.00
Fractional coordinates of all 4 atoms:
1 La 0.000 0.993 0.997
2 Ru 0.500 0.750 0.750
3 Re 0.500 0.250 0.250
4 La 0.000 0.507 0.503

***

First-principles (GGA-PBE) data for a relaxed KLi2SI crystal, as listed in the Alexandria database.

SG: P2_1/m
Final energy, eV per atom: -3.385
Crystal system: monoclinic

abc: 4.368 7.424 8.879
angles: 106.18 90.00 90.00
Fractional coordinates of all 10 atoms:
1 S 0.250 0.311 0.067
2 Li 0.750 0.469 0.090
3 K 0.750 0.063 0.824
4 S 0.750 0.689 0.933
5 Li 0.750 0.532 0.666
6 K 0.250 0.937 0.176
7 I 0.750 0.719 0.428
8 I 0.250 0.281 0.572
9 Li 0.250 0.531 0.910
10 Li 0.250 0.468 0.334

***

First-principles (GGA-PBE) data for a relaxed NbNi6Sb crystal, as listed in the Alexandria database.

SG: Cmmm
Final energy, eV per atom: -6.296
Crystal system: orthorhombic

abc: 6.426 6.426 10.491
angles: 90.00 90.00 109.25
Fractional coordinates of all 32 atoms:
1 Ni 0.247 0.753 0.743
2 Ni 0.878 0.631 0.871
3 Ni 0.500 0.500 0.500
4 Nb 0.755 0.245 0.500
5 Sb 0.500 0.500 0.749
6 Ni 0.753 0.247 0.257
7 Ni 0.122 0.369 0.129
8 Ni 0.373 0.121 0.622
9 Ni 0.627 0.879 0.378
10 Sb 0.752 0.248 0.000
11 Ni 0.500 0.500 0.000
12 Ni 0.753 0.247 0.743
13 Nb 0.000 0.000 0.249
14 Ni 0.631 0.878 0.871
15 Ni 0.121 0.373 0.622
16 Ni 0.000 0.000 0.500
17 Ni 0.121 0.373 0.378
18 Sb 0.248 0.752 0.000
19 Ni 0.247 0.753 0.257
20 Ni 0.878 0.631 0.129
21 Ni 0.879 0.627 0.378
22 Ni 0.369 0.122 0.871
23 Ni 0.122 0.369 0.871
24 Ni 0.631 0.878 0.129
25 Ni 0.373 0.121 0.378
26 Ni 0.879 0.627 0.622
27 Ni 0.627 0.879 0.622
28 Ni 0.000 0.000 0.000
29 Sb 0.500 0.500 0.251
30 Ni 0.369 0.122 0.129
31 Nb 0.000 0.000 0.751
32 Nb 0.245 0.755 0.500

***

Here are the calculated Fermi-level density of states numbers, same order: 1.71; 4.59; 1.48; 3.90; 4.83; 5.02; 12.19; 3.82; 0.00; 6.15 (states/eV/f.u.).